(1)
# TlTe2Ru, PBEsol geometry, DFT meta-GGA SCAN
data_TlTe2Ru
_symmetry_space_group_name_H-M 'P 1'
_symmetry_Int_Tables_number 1
_symmetry_space_group_name_Hall 'P 1'
_cell_length_a 3.171
_cell_length_b 3.171
_cell_length_c 9.524
_cell_angle_alpha 90.00
_cell_angle_beta 90.00
_cell_angle_gamma 90.00
loop_
_atom_site_label
_atom_site_type_symbol
_atom_site_fract_x
_atom_site_fract_y
_atom_site_fract_z
_atom_site_occupancy
Tl1 Tl 0.000 0.000 0.000 1
Te1 Te 0.000 0.000 0.375 1
Te2 Te 0.500 0.500 0.711 1
Ru1 Ru 0.500 0.500 0.229 1
# Fermi-level density of states: 1.1 states/eV per cell
# ρ: 9.7 g cm⁻³
# Raw formation energy: 0.35 eV per formula unit
# M_tot: 0.00 Bohr magnetons per cell


(2)
# TlTe2Ru, PBEsol geometry, DFT meta-GGA SCAN
data_TlTe2Ru
_symmetry_space_group_name_H-M 'P 1'
_symmetry_Int_Tables_number 1
_symmetry_space_group_name_Hall 'P 1'
_cell_length_a 3.886
_cell_length_b 6.230
_cell_length_c 6.230
_cell_angle_alpha 45.75
_cell_angle_beta 90.00
_cell_angle_gamma 90.00
loop_
_atom_site_label
_atom_site_type_symbol
_atom_site_fract_x
_atom_site_fract_y
_atom_site_fract_z
_atom_site_occupancy
Tl1 Tl 0.000 0.000 0.000 1
Te1 Te 0.000 0.330 0.330 1
Te2 Te 0.500 0.613 0.613 1
Ru1 Ru 0.500 0.189 0.189 1
# Fermi-level density of states: 2.0 states/eV per cell
# ρ: 8.6 g cm⁻³
# Raw formation energy: 0.03 eV per formula unit
# M_tot: 0.00 Bohr magnetons per cell


(3)
# Tl2TeRu, PBEsol geometry, DFT meta-GGA SCAN
data_Tl2TeRu
_symmetry_space_group_name_H-M 'P 1'
_symmetry_Int_Tables_number 1
_symmetry_space_group_name_Hall 'P 1'
_cell_length_a 6.062
_cell_length_b 6.062
_cell_length_c 3.584
_cell_angle_alpha 105.90
_cell_angle_beta 105.90
_cell_angle_gamma 123.42
loop_
_atom_site_label
_atom_site_type_symbol
_atom_site_fract_x
_atom_site_fract_y
_atom_site_fract_z
_atom_site_occupancy
Tl1 Tl 0.000 0.500 0.000 1
Tl2 Tl 0.500 0.000 0.000 1
Te1 Te 0.000 0.000 0.500 1
Ru1 Ru 0.500 0.500 0.500 1
# Fermi-level density of states: 3.3 states/eV per cell
# ρ: 11.8 g cm⁻³
# Raw formation energy: 2.48 eV per formula unit
# M_tot: 0.01 Bohr magnetons per cell


(4)
# TlTeRu3, PBEsol geometry, DFT meta-GGA SCAN
data_TlTeRu3
_symmetry_space_group_name_H-M 'P 1'
_symmetry_Int_Tables_number 1
_symmetry_space_group_name_Hall 'P 1'
_cell_length_a 4.745
_cell_length_b 4.745
_cell_length_c 4.745
_cell_angle_alpha 90.00
_cell_angle_beta 90.00
_cell_angle_gamma 90.00
loop_
_atom_site_label
_atom_site_type_symbol
_atom_site_fract_x
_atom_site_fract_y
_atom_site_fract_z
_atom_site_occupancy
Tl1 Tl 0.000 0.000 0.000 1
Te1 Te 0.500 0.500 0.500 1
Ru1 Ru 0.000 0.500 0.500 1
Ru2 Ru 0.500 0.000 0.500 1
Ru3 Ru 0.500 0.500 0.000 1
# Fermi-level density of states: 2.1 states/eV per cell
# ρ: 9.9 g cm⁻³
# Raw formation energy: 7.14 eV per formula unit
# M_tot: 1.10 Bohr magnetons per cell


(5)
# TlTe2Ru, PBEsol geometry, DFT meta-GGA SCAN
data_TlTe2Ru
_symmetry_space_group_name_H-M 'P 1'
_symmetry_Int_Tables_number 1
_symmetry_space_group_name_Hall 'P 1'
_cell_length_a 5.552
_cell_length_b 5.552
_cell_length_c 6.071
_cell_angle_alpha 112.20
_cell_angle_beta 112.20
_cell_angle_gamma 34.22
loop_
_atom_site_label
_atom_site_type_symbol
_atom_site_fract_x
_atom_site_fract_y
_atom_site_fract_z
_atom_site_occupancy
Tl1 Tl 0.000 0.000 0.000 1
Te1 Te 0.643 0.643 0.638 1
Te2 Te 0.838 0.838 0.370 1
Ru1 Ru 0.269 0.269 0.003 1
# Fermi-level density of states: 2.5 states/eV per cell
# ρ: 9.6 g cm⁻³
# Raw formation energy: 0.25 eV per formula unit
# M_tot: 0.00 Bohr magnetons per cell


(6)
# TlTe2Ru, PBEsol geometry, DFT meta-GGA SCAN
data_TlTe2Ru
_symmetry_space_group_name_H-M 'P 1'
_symmetry_Int_Tables_number 1
_symmetry_space_group_name_Hall 'P 1'
_cell_length_a 3.227
_cell_length_b 3.268
_cell_length_c 8.870
_cell_angle_alpha 90.00
_cell_angle_beta 90.00
_cell_angle_gamma 90.00
loop_
_atom_site_label
_atom_site_type_symbol
_atom_site_fract_x
_atom_site_fract_y
_atom_site_fract_z
_atom_site_occupancy
Tl1 Tl 0.000 0.000 0.000 1
Te1 Te 0.500 0.500 0.317 1
Te2 Te 0.500 0.500 0.683 1
Ru1 Ru 0.000 0.000 0.500 1
# Fermi-level density of states: 2.8 states/eV per cell
# ρ: 10.0 g cm⁻³
# Raw formation energy: 0.28 eV per formula unit
# M_tot: 0.01 Bohr magnetons per cell


(7)
# Te3RuW, PBEsol geometry, DFT meta-GGA SCAN
data_Te3RuW
_symmetry_space_group_name_H-M 'P 1'
_symmetry_Int_Tables_number 1
_symmetry_space_group_name_Hall 'P 1'
_cell_length_a 5.035
_cell_length_b 5.035
_cell_length_c 5.035
_cell_angle_alpha 90.00
_cell_angle_beta 90.00
_cell_angle_gamma 90.00
loop_
_atom_site_label
_atom_site_type_symbol
_atom_site_fract_x
_atom_site_fract_y
_atom_site_fract_z
_atom_site_occupancy
Te1 Te 0.000 0.000 0.500 1
Te2 Te 0.000 0.500 0.000 1
Te3 Te 0.500 0.000 0.000 1
Ru1 Ru 0.000 0.000 0.000 1
W1 W 0.500 0.500 0.500 1
# Fermi-level density of states: 3.5 states/eV per cell
# ρ: 8.7 g cm⁻³
# Raw formation energy: 6.91 eV per formula unit
# M_tot: 1.88 Bohr magnetons per cell


(8)
# Te2RuW, PBEsol geometry, DFT meta-GGA SCAN
data_Te2RuW
_symmetry_space_group_name_H-M 'P 1'
_symmetry_Int_Tables_number 1
_symmetry_space_group_name_Hall 'P 1'
_cell_length_a 3.292
_cell_length_b 3.292
_cell_length_c 6.541
_cell_angle_alpha 90.00
_cell_angle_beta 90.00
_cell_angle_gamma 90.00
loop_
_atom_site_label
_atom_site_type_symbol
_atom_site_fract_x
_atom_site_fract_y
_atom_site_fract_z
_atom_site_occupancy
Te1 Te 0.000 0.000 0.249 1
Te2 Te 0.000 0.000 0.751 1
Ru1 Ru 0.500 0.500 0.500 1
W1 W 0.500 0.500 0.000 1
# Fermi-level density of states: 3.5 states/eV per cell
# ρ: 12.7 g cm⁻³
# Raw formation energy: 2.37 eV per formula unit
# M_tot: 0.00 Bohr magnetons per cell


(9)
# Te2RuW, PBEsol geometry, DFT meta-GGA SCAN
data_Te2RuW
_symmetry_space_group_name_H-M 'P 1'
_symmetry_Int_Tables_number 1
_symmetry_space_group_name_Hall 'P 1'
_cell_length_a 5.472
_cell_length_b 5.472
_cell_length_c 5.472
_cell_angle_alpha 137.70
_cell_angle_beta 137.70
_cell_angle_gamma 61.37
loop_
_atom_site_label
_atom_site_type_symbol
_atom_site_fract_x
_atom_site_fract_y
_atom_site_fract_z
_atom_site_occupancy
Te1 Te 0.000 0.000 0.000 1
Te2 Te 0.750 0.250 0.500 1
Ru1 Ru 0.250 0.750 0.500 1
W1 W 0.500 0.500 0.000 1
# Fermi-level density of states: 3.5 states/eV per cell
# ρ: 12.2 g cm⁻³
# Raw formation energy: 3.79 eV per formula unit
# M_tot: 0.92 Bohr magnetons per cell


(10)
# Y2TeRu, PBEsol geometry, DFT meta-GGA SCAN
data_Y2TeRu
_symmetry_space_group_name_H-M 'P 1'
_symmetry_Int_Tables_number 1
_symmetry_space_group_name_Hall 'P 1'
_cell_length_a 3.353
_cell_length_b 3.353
_cell_length_c 8.269
_cell_angle_alpha 90.00
_cell_angle_beta 90.00
_cell_angle_gamma 90.00
loop_
_atom_site_label
_atom_site_type_symbol
_atom_site_fract_x
_atom_site_fract_y
_atom_site_fract_z
_atom_site_occupancy
Y1 Y 0.000 0.000 0.000 1
Y2 Y 0.500 0.500 0.344 1
Te1 Te 0.500 0.500 0.742 1
Ru1 Ru 0.000 0.000 0.564 1
# Fermi-level density of states: 3.3 states/eV per cell
# ρ: 7.3 g cm⁻³
# Raw formation energy: -0.92 eV per formula unit
# M_tot: 0.00 Bohr magnetons per cell


(11)
# Y2TeRu, PBEsol geometry, DFT meta-GGA SCAN
data_Y2TeRu
_symmetry_space_group_name_H-M 'P 1'
_symmetry_Int_Tables_number 1
_symmetry_space_group_name_Hall 'P 1'
_cell_length_a 4.398
_cell_length_b 5.781
_cell_length_c 5.781
_cell_angle_alpha 38.84
_cell_angle_beta 90.00
_cell_angle_gamma 90.00
loop_
_atom_site_label
_atom_site_type_symbol
_atom_site_fract_x
_atom_site_fract_y
_atom_site_fract_z
_atom_site_occupancy
Y1 Y 0.000 0.000 0.000 1
Y2 Y 0.500 0.296 0.296 1
Te1 Te 0.000 0.716 0.716 1
Ru1 Ru 0.500 0.550 0.550 1
# Fermi-level density of states: 1.0 states/eV per cell
# ρ: 7.3 g cm⁻³
# Raw formation energy: -3.33 eV per formula unit
# M_tot: 0.00 Bohr magnetons per cell


(12)
# Y2ZnTeRu, PBEsol geometry, DFT meta-GGA SCAN
data_Y2ZnTeRu
_symmetry_space_group_name_H-M 'P 1'
_symmetry_Int_Tables_number 1
_symmetry_space_group_name_Hall 'P 1'
_cell_length_a 5.241
_cell_length_b 5.241
_cell_length_c 4.763
_cell_angle_alpha 90.00
_cell_angle_beta 90.00
_cell_angle_gamma 90.00
loop_
_atom_site_label
_atom_site_type_symbol
_atom_site_fract_x
_atom_site_fract_y
_atom_site_fract_z
_atom_site_occupancy
Y1 Y 0.000 0.500 0.000 1
Y2 Y 0.500 0.000 0.000 1
Zn1 Zn 0.000 0.000 0.000 1
Te1 Te 0.000 0.000 0.500 1
Ru1 Ru 0.500 0.500 0.500 1
# Fermi-level density of states: 3.3 states/eV per cell
# ρ: 6.0 g cm⁻³
# Raw formation energy: 2.80 eV per formula unit
# M_tot: 1.35 Bohr magnetons per cell


Question: Which of these has the highest ρ?
Answer: number 8